An optimized crystal structure of RbTlNiF6, computed with PBE+U.

Values from the calculation:
Crystal system: monoclinic
Calculated total energy (eV per atom): -4.108

```
RbTlNiF6
1.0
5.687 0.012 0.015
2.853 4.942 0.031
-0.028 -0.048 5.990
Rb Ni F Tl
1 1 6 1
Direct
0.000 0.000 0.000 Rb
0.666 0.667 0.500 Ni
0.978 0.387 0.309 F
0.978 0.635 0.691 F
0.634 0.977 0.308 F
0.388 0.633 0.308 F
0.634 0.390 0.692 F
0.388 0.979 0.692 F
0.334 0.333 0.500 Tl
```